This record from Alexandria via LeMat-Bulk describes a relaxed structure of CoAgMo2. The functional is PBE.

Values from the calculation:
E above lowest polymorph in kJ/mol of formula units: 110
Formation energy in meV/atom: 574
Total DFT energy (no corrections) in eV per cell: -29.32
Spin magnetization in μB per cell: 0.00

abc: 4.394 4.394 4.394
angles: 60.00 60.00 60.00
Sites, in units of the cell vectors:
1 Co 0.750 0.750 0.750
2 Mo 0.000 0.000 0.000
3 Mo 0.250 0.250 0.250
4 Ag 0.500 0.500 0.500